# 1
Compound: AlC3Cl
Source: Alexandria
Functional: GGA-PBE
Structure: optimized geometry

a b c (Å): 4.056 4.056 4.056
angles (deg): 90.00 90.00 90.00
Each line ends with the local moment (μB).
Positions (direct):
C: 0.000 0.000 0.500  0.07
C: 0.000 0.500 0.000  0.12
C: 0.500 0.000 0.000  0.12
Cl: 0.500 0.500 0.500  0.05
Al: 0.000 0.000 0.000  -0.01

Summary:
The energy is -0.14732 hartree per atom. The calculation puts the total moment at 0.660 μB/cell. As for the space group: Pm-3m. Its raw formation energy is 2.643 eV per atom.

# 2
Compound: Na3PuO7
Source: Alexandria
Functional: GGA-PBE
Structure: optimized geometry

a b c (Å): 6.013 6.013 5.896
angles (deg): 115.48 115.48 98.54
Each line ends with the local moment (μB).
Positions (direct):
Na: 0.777 0.246 0.519  0.00
Na: 0.246 0.777 0.519  0.00
Na: 0.501 0.501 0.073  0.00
O: 0.177 0.679 0.893  -0.06
O: 0.679 0.177 0.893  -0.06
O: 0.902 0.338 0.203  -0.04
O: 0.092 0.092 0.797  -0.06
O: 0.338 0.902 0.203  -0.04
O: 0.830 0.830 0.139  -0.06
O: 0.633 0.633 0.556  -0.12
Pu: 0.949 0.949 0.953  1.52

Summary:
The energy is -0.23627 hartree per atom. The calculation puts the total moment at 1.000 μB/cell. As for the space group: Cm. Its raw formation energy is -1.611 eV per atom.

# 3
Compound: SbOsPb2
Source: Alexandria
Functional: GGA-PBE
Structure: optimized geometry

a b c (Å): 4.910 4.910 7.149
angles (deg): 71.69 71.69 41.79
Each line ends with the local moment (μB).
Positions (direct):
Pb: 0.917 0.917 0.033  0.00
Pb: 0.730 0.730 0.716  0.00
Os: 0.282 0.282 0.376  0.20
Sb: 0.571 0.571 0.374  0.00

Summary:
The energy is -0.19675 hartree per atom. The calculation puts the total moment at 0.193 μB/cell. As for the space group: Cm. Its raw formation energy is 0.338 eV per atom.

# 4
Compound: ZrBe5Pd
Source: Alexandria
Functional: GGA-PBE
Structure: optimized geometry

a b c (Å): 4.366 7.491 9.325
angles (deg): 90.00 90.00 90.00
Positions (direct):
Be: 0.250 0.199 0.255
Be: 0.997 0.940 0.314
Be: 0.750 0.801 0.745
Be: 0.250 0.699 0.245
Be: 0.750 0.301 0.755
Be: 0.750 0.425 0.984
Be: 0.750 0.925 0.516
Be: 0.250 0.075 0.484
Be: 0.250 0.462 0.387
Be: 0.497 0.560 0.814
Be: 0.003 0.060 0.686
Be: 0.503 0.940 0.314
Be: 0.997 0.440 0.186
Be: 0.750 0.038 0.887
Be: 0.503 0.440 0.186
Be: 0.250 0.962 0.113
Be: 0.003 0.560 0.814
Be: 0.250 0.575 0.016
Be: 0.497 0.060 0.686
Be: 0.750 0.538 0.613
Pd: 0.250 0.357 0.638
Pd: 0.250 0.857 0.862
Pd: 0.750 0.143 0.138
Pd: 0.750 0.643 0.362
Zr: 0.750 0.264 0.437
Zr: 0.250 0.236 0.937
Zr: 0.750 0.764 0.063
Zr: 0.250 0.736 0.563

Summary:
The energy is -0.18407 hartree per atom. The calculation puts the total moment at 0.000 μB/cell. As for the space group: Pnma.

# 5
Compound: Dy3AlGe
Source: Alexandria
Functional: GGA-PBE
Structure: optimized geometry

a b c (Å): 4.110 7.805 8.379
angles (deg): 92.16 90.05 105.35
Positions (direct):
Dy: 0.259 0.550 0.032
Dy: 0.072 0.177 0.390
Dy: 0.785 0.604 0.389
Dy: 0.972 0.978 0.032
Dy: 0.614 0.264 0.800
Dy: 0.430 0.890 0.622
Ge: 0.415 0.862 0.272
Ge: 0.629 0.292 0.149
Al: 0.817 0.666 0.777
Al: 0.227 0.489 0.644

Summary:
The energy is -0.17927 hartree per atom. The calculation puts the total moment at 0.000 μB/cell. As for the space group: P-1.

# 6
Compound: Rb4PmEr3Se8
Source: Alexandria
Functional: GGA-PBE
Structure: optimized geometry

a b c (Å): 8.490 9.381 8.490
angles (deg): 116.93 120.00 90.00
Positions (direct):
Se: 0.275 0.304 0.039
Se: 0.725 0.696 0.961
Se: 0.764 0.304 0.528
Se: 0.236 0.696 0.472
Se: 0.764 0.304 0.039
Se: 0.236 0.696 0.961
Se: 0.731 0.693 0.462
Se: 0.269 0.307 0.538
Pm: 0.000 0.500 0.000
Er: 0.500 0.500 0.500
Er: 0.500 0.500 0.000
Er: 0.000 0.500 0.500
Rb: 0.500 0.000 0.500
Rb: 0.000 0.000 0.000
Rb: 0.000 0.000 0.500
Rb: 0.500 0.000 0.000

Summary:
The energy is -0.17886 hartree per atom. The calculation puts the total moment at 0.000 μB/cell. As for the space group: R-3m. Its raw formation energy is -1.730 eV per atom.

# 7
Compound: PrHo4Tc
Source: Alexandria
Functional: GGA-PBE
Structure: optimized geometry

a b c (Å): 3.759 8.821 20.533
angles (deg): 90.00 90.00 90.00
Positions (direct):
Tc: 0.250 0.739 0.546
Tc: 0.250 0.239 0.954
Tc: 0.750 0.761 0.046
Tc: 0.750 0.261 0.454
Ho: 0.750 0.492 0.566
Ho: 0.750 0.351 0.860
Ho: 0.750 0.851 0.640
Ho: 0.250 0.634 0.958
Ho: 0.250 0.149 0.360
Ho: 0.250 0.008 0.066
Ho: 0.250 0.134 0.542
Ho: 0.750 0.992 0.934
Ho: 0.750 0.459 0.295
Ho: 0.250 0.041 0.795
Ho: 0.750 0.866 0.458
Ho: 0.750 0.959 0.205
Ho: 0.750 0.366 0.042
Ho: 0.250 0.541 0.705
Ho: 0.250 0.649 0.140
Ho: 0.250 0.508 0.434
Pr: 0.750 0.227 0.688
Pr: 0.250 0.773 0.312
Pr: 0.250 0.273 0.188
Pr: 0.750 0.727 0.812

Summary:
The energy is -0.20552 hartree per atom. The calculation puts the total moment at 0.000 μB/cell. As for the space group: Pnma.

# 8
Compound: PaAlCoRh
Source: Alexandria
Functional: GGA-PBE
Structure: optimized geometry

a b c (Å): 4.576 4.576 4.576
angles (deg): 60.00 60.00 60.00
Positions (direct):
Pa: 0.250 0.250 0.250
Rh: 0.000 0.000 0.000
Al: 0.750 0.750 0.750
Co: 0.500 0.500 0.500

Summary:
The energy is -0.27284 hartree per atom. The calculation puts the total moment at 0.004 μB/cell. As for the space group: F-43m.

Question: What is the energy in the seventh record?
Answer: -0.20552 hartree per atom